This record from Alexandria via LeMat-Bulk describes an optimized crystal structure of CaSmFeO4. The functional is PBE+U.

Magnetic moment   1.00 Bohr magnetons per cell
Mass density   6.1 g cm⁻³
Space group   I4mm, No. 107
Total DFT energy (no corrections)   -6.95 eV/atom

Lattice parameters (Å, degrees): 3.7444 3.7444 6.5954 106.49 106.49 90.00
Element x y z (fractional)
1 Ca 0.6440 0.6440 0.2880
2 Sm 0.3586 0.3586 0.7173
3 Fe 0.0060 0.0060 0.0121
4 O 0.9938 0.4938 0.9875
5 O 0.4938 0.9938 0.9875
6 O 0.8323 0.8323 0.6645
7 O 0.1715 0.1715 0.3430